Entry 1:
## Ac2Pr2Pt3 (PBE)

Data for an optimized crystal structure of Ac2Pr2Pt3.

Output
V (Å³/atom): 32.0
Calculated total energy (eV/atom): -6.078
Density of states at the Fermi level (states/eV per cell): 4.72

a = 4.4193 Å, b = 7.4709 Å, c = 8.0174 Å
α = 117.15°, β = 106.00°, γ = 90.00°
Fractional positions:
Pt 0.0000 0.5000 0.0000
Pt 0.7522 0.2596 0.5045
Pt 0.2478 0.7404 0.4955
Ac 0.8692 0.0304 0.7384
Ac 0.1308 0.9696 0.2616
Pr 0.6263 0.4657 0.2526
Pr 0.3737 0.5343 0.7474

=====

Entry 2:
## CoRuPb3 (PBE)

Data for an optimized crystal structure of CoRuPb3.

Output
V (Å³/atom): 28.7
Calculated total energy (eV/atom): -4.604
Density of states at the Fermi level (states/eV per cell): 16.45

a = 5.2349 Å, b = 5.2349 Å, c = 5.2349 Å
α = 90.00°, β = 90.00°, γ = 90.00°
Fractional positions:
Pb 0.0000 0.5000 0.0000
Pb 0.5000 0.0000 0.0000
Pb 0.0000 0.0000 0.5000
Ru 0.0000 0.0000 0.0000
Co 0.5000 0.5000 0.5000

=====

Entry 3:
## La2TeW (PBE)

Data for an optimized crystal structure of La2TeW.

Output
V (Å³/atom): 28.4
Raw formation energy (eV/atom): -0.13
Density of states at the Fermi level (states/eV per cell): 4.83

a = 4.6708 Å, b = 4.2302 Å, c = 6.1364 Å
α = 69.77°, β = 90.00°, γ = 90.00°
Fractional positions:
W 0.5000 0.5497 0.7743
Te 0.0000 0.6958 0.4840
La 0.0000 0.9854 0.9038
La 0.5000 0.2691 0.3379

=====

Entry 4:
## Er8In2Ag (PBE)

Data for an optimized crystal structure of Er8In2Ag.

Output
V (Å³/atom): 28.3
Calculated total energy (eV/atom): -4.256
Density of states at the Fermi level (states/eV per cell): 10.48

a = 5.1345 Å, b = 6.7433 Å, c = 9.5389 Å
α = 101.18°, β = 105.61°, γ = 90.00°
Fractional positions:
Er 0.3466 0.0273 0.6931
Er 0.2038 0.2983 0.4076
Er 0.0176 0.7642 0.0352
Er 0.4072 0.5362 0.8144
Er 0.5928 0.4638 0.1856
Er 0.6534 0.9727 0.3069
Er 0.9824 0.2358 0.9648
Er 0.7962 0.7017 0.5924
Ag 0.5000 0.0000 0.0000
In 0.8109 0.2529 0.6219
In 0.1891 0.7471 0.3781

=====

Entry 5:
## Er2Si4Pd3Pt (PBE)

Data for an optimized crystal structure of Er2Si4Pd3Pt.

Output
V (Å³/atom): 17.2
Raw formation energy (eV/atom): -0.91
Density of states at the Fermi level (states/eV per cell): 5.35

a = 4.1539 Å, b = 4.1539 Å, c = 9.9513 Å
α = 90.00°, β = 90.00°, γ = 90.00°
Fractional positions:
Pd 0.5000 0.0000 0.8726
Pd 0.0000 0.0000 0.5000
Pd 0.0000 0.5000 0.1274
Pt 0.5000 0.5000 0.5000
Er 0.0000 0.5000 0.7520
Er 0.5000 0.0000 0.2480
Si 0.0000 0.5000 0.3665
Si 0.5000 0.0000 0.6335
Si 0.0000 0.0000 0.0000
Si 0.5000 0.5000 0.0000

=====

Entry 6:
## Sm2CuHg (PBE)

Data for an optimized crystal structure of Sm2CuHg.

Output
V (Å³/atom): 24.8
Calculated total energy (eV/atom): -3.776
Density of states at the Fermi level (states/eV per cell): 3.87

a = 3.6413 Å, b = 3.6413 Å, c = 7.4879 Å
α = 90.00°, β = 90.00°, γ = 90.00°
Fractional positions:
Sm 0.0000 0.0000 0.2289
Sm 0.0000 0.0000 0.7711
Cu 0.5000 0.5000 0.0000
Hg 0.5000 0.5000 0.5000

=====

Entry 7:
## Li2Pt3 (PBE)

Data for an optimized crystal structure of Li2Pt3.

Output
V (Å³/atom): 14.2
Calculated total energy (eV/atom): -4.788
Density of states at the Fermi level (states/eV per cell): 8.16

a = 7.9307 Å, b = 6.8541 Å, c = 5.2145 Å
α = 80.93°, β = 58.59°, γ = 40.49°
Fractional positions:
Li 0.0495 0.3527 0.8976
Li 0.7002 0.8976 0.3527
Li 0.3524 0.5498 0.2005
Li 0.8973 0.2005 0.5498
Pt 0.8228 0.8761 0.7945
Pt 0.4555 0.7433 0.4272
Pt 0.5067 0.7945 0.8761
Pt 0.3739 0.4272 0.7433
Pt 0.9209 0.0791 0.0791
Pt 0.1709 0.3291 0.3291

=====

Entry 8:
## NaSb2TeO8 (PBE)

Data for an optimized crystal structure of NaSb2TeO8.

Output
V (Å³/atom): 12.8
Raw formation energy (eV/atom): -1.24
Density of states at the Fermi level (states/eV per cell): 2.30

a = 4.8786 Å, b = 4.8793 Å, c = 6.4383 Å
α = 90.00°, β = 90.00°, γ = 87.21°
Fractional positions:
O 0.6932 0.6930 0.0000
O 0.3068 0.3070 0.0000
O 0.2031 0.7971 0.7746
O 0.7969 0.2030 0.7746
O 0.3200 0.3202 0.5000
O 0.2031 0.7970 0.2254
O 0.6800 0.6798 0.5000
O 0.7969 0.2029 0.2254
Te 0.0000 0.0000 0.0000
Na 0.0000 0.0000 0.5000
Sb 0.5000 0.5000 0.7432
Sb 0.5000 0.5000 0.2568

=====

Entry 9:
## KNa15Cd4 (PBE)

Data for an optimized crystal structure of KNa15Cd4.

Output
V (Å³/atom): 32.6
Calculated total energy (eV/atom): -1.245
Density of states at the Fermi level (states/eV per cell): 7.26

a = 5.0934 Å, b = 5.0934 Å, c = 25.1691 Å
α = 90.00°, β = 90.00°, γ = 90.00°
Fractional positions:
Cd 0.0000 0.0000 0.7838
Cd 0.0000 0.0000 0.4051
Cd 0.0000 0.0000 0.5949
Cd 0.0000 0.0000 0.2162
Na 0.5000 0.0000 0.8764
Na 0.5000 0.0000 0.6894
Na 0.5000 0.0000 0.1236
Na 0.0000 0.5000 0.6894
Na 0.5000 0.0000 0.5000
Na 0.5000 0.5000 0.2166
Na 0.0000 0.5000 0.8764
Na 0.5000 0.5000 0.4054
Na 0.5000 0.5000 0.7834
Na 0.0000 0.5000 0.1236
Na 0.0000 0.5000 0.3106
Na 0.5000 0.5000 0.0000
Na 0.5000 0.5000 0.5946
Na 0.0000 0.5000 0.5000
Na 0.5000 0.0000 0.3106
K 0.0000 0.0000 0.0000

=====

Entry 10:
## RbGaC (PBE)

Data for an optimized crystal structure of RbGaC.

Output
V (Å³/atom): 26.7
Calculated total energy (eV/atom): -3.672
Density of states at the Fermi level (states/eV per cell): 0.00

a = 5.7195 Å, b = 5.7195 Å, c = 5.2609 Å
α = 90.00°, β = 90.00°, γ = 111.62°
Fractional positions:
Rb 0.2500 0.2500 0.5000
Rb 0.7500 0.7500 0.5000
Ga 0.0000 0.5000 0.0000
Ga 0.5000 0.0000 0.0000
C 0.2500 0.7500 0.8206
C 0.7500 0.2500 0.1794

=====

Entry 11:
## Hg2IrSe (PBE)

Data for an optimized crystal structure of Hg2IrSe.

Output
V (Å³/atom): 22.7
Raw formation energy (eV/atom): 0.15
Density of states at the Fermi level (states/eV per cell): 1.91

a = 3.0540 Å, b = 4.6630 Å, c = 6.7894 Å
α = 69.92°, β = 90.00°, γ = 90.00°
Fractional positions:
Hg 0.5000 0.2626 0.3497
Hg 0.0000 0.9410 0.9941
Se 0.5000 0.5727 0.7281
Ir 0.0000 0.7237 0.4281

=====

V of number 6 (Sm2CuHg)? 24.8 Å³/atom